Record 1
Below is InCu2Ru after structural relaxation, with properties calculated at the GGA-PBEsol level.

POSCAR file:
```
InCu2Ru
1.0
-2.567 0.076 -0.926
-0.059 -4.074 -0.173
-0.431 -0.215 5.207
Cu In Ru
2 1 1
Direct
0.185 0.000 0.994
0.309 0.500 0.243
0.929 0.000 0.483
0.578 0.500 0.781
```

Electronic total energy (eV/atom): -5.217

---

Record 2
Below is Zr2ScBr after structural relaxation, with properties calculated at the GGA-PBEsol level.

POSCAR file:
```
Zr2ScBr
1.0
-2.159 1.666 1.867
0.974 -2.319 3.196
4.532 4.091 1.588
Br Sc Zr
1 1 2
Direct
0.500 0.500 0.000
0.500 0.500 0.500
0.000 0.000 0.749
0.000 0.000 0.251
```

Electronic total energy (eV/atom): -6.675

---

Record 3
Below is AlIn2Sb after structural relaxation, with properties calculated at the GGA-PBEsol level.

POSCAR file:
```
AlIn2Sb
1.0
-1.131 0.416 -4.993
-1.295 -4.175 -2.696
-4.841 -0.626 -1.597
Sb Al In
1 1 2
Direct
0.250 0.250 0.250
0.500 0.500 0.500
0.000 0.000 0.000
0.750 0.750 0.750
```

Relative energy among the computed polymorphs (meV/atom): 0
Electronic total energy (eV/atom): -3.506

---

no.,ρ (g/cm³),M_tot (μB per cell)
1,10.14,0.03
2,6.02,0.00
3,6.56,0.00